Arrangement w

Density functional theory data (GGA-PBE) for ZrHg2Ru after structural relaxation.

Results
- ρ: 12.7 g/cm3
- Fermi-level density of states: 0.5727 states/eV/atom

Cell and atoms, written as CIF:
```
data_ZrHg2Ru
_chemical_formula_sum 'Zr2 Hg4 Ru2'
_symmetry_space_group_name_H-M 'C 1 2/m 1'
_symmetry_Int_Tables_number 12
_cell_length_a 5.691
_cell_length_b 8.351
_cell_length_c 3.276
_cell_angle_alpha 90.00
_cell_angle_beta 90.16
_cell_angle_gamma 90.00
loop_
_symmetry_equiv_pos_as_xyz
'x,y,z'
'-x,-y,-z'
'-x,y,-z'
'x,-y,z'
'x+1/2,y+1/2,z'
'-x+1/2,-y+1/2,-z'
'-x+1/2,y+1/2,-z'
'x+1/2,-y+1/2,z'
loop_
_atom_site_label
_atom_site_fract_x
_atom_site_fract_y
_atom_site_fract_z
Zr1 0.000 0.000 0.000
Hg1 0.250 0.250 0.500
Ru1 0.000 0.500 0.000
```

Arrangement x

Density functional theory data (GGA-PBE) for ZrHg2Ru after structural relaxation.

Results
- ρ: 12.8 g/cm3
- Fermi-level density of states: 1.0746 states/eV/atom

Cell and atoms, written as CIF:
```
data_ZrHg2Ru
_chemical_formula_sum 'Zr1 Hg2 Ru1'
_symmetry_space_group_name_H-M 'P 4/m m m'
_symmetry_Int_Tables_number 123
_symmetry_space_group_name_Hall '-P 4 2'
_cell_length_a 3.200
_cell_length_b 3.200
_cell_length_c 7.536
_cell_angle_alpha 90.00
_cell_angle_beta 90.00
_cell_angle_gamma 90.00
loop_
_atom_site_label
_atom_site_fract_x
_atom_site_fract_y
_atom_site_fract_z
Zr1 0.000 0.000 0.000
Hg1 0.500 0.500 0.272
Ru1 0.000 0.000 0.500
```

Arrangement y

Density functional theory data (GGA-PBE) for ZrHg2Ru after structural relaxation.

Results
- ρ: 12.8 g/cm3
- Fermi-level density of states: 0.9788 states/eV/atom

Cell and atoms, written as CIF:
```
data_ZrHg2Ru
_chemical_formula_sum 'Zr1 Hg2 Ru1'
_symmetry_space_group_name_H-M 'P m m m'
_symmetry_Int_Tables_number 47
_cell_length_a 3.952
_cell_length_b 4.185
_cell_length_c 4.665
_cell_angle_alpha 90.00
_cell_angle_beta 90.00
_cell_angle_gamma 90.00
loop_
_symmetry_equiv_pos_as_xyz
'x,y,z'
'-x,-y,-z'
'-x,-y,z'
'x,y,-z'
'x,-y,-z'
'-x,y,z'
'-x,y,-z'
'x,-y,z'
loop_
_atom_site_label
_atom_site_fract_x
_atom_site_fract_y
_atom_site_fract_z
Zr1 0.000 0.000 0.000
Hg1 0.000 0.500 0.500
Hg2 0.500 0.000 0.500
Ru1 0.500 0.500 0.000
```

Arrangement z

Density functional theory data (GGA-PBE) for ZrHg2Ru after structural relaxation.

Results
- ρ: 12.9 g/cm3
- Fermi-level density of states: 0.4574 states/eV/atom

Cell and atoms, written as CIF:
```
data_ZrHg2Ru
_chemical_formula_sum 'Zr2 Hg4 Ru2'
_symmetry_space_group_name_H-M 'I 4/m m m'
_symmetry_Int_Tables_number 139
_symmetry_space_group_name_Hall '-I 4 2'
_cell_length_a 4.125
_cell_length_b 4.125
_cell_length_c 8.951
_cell_angle_alpha 90.00
_cell_angle_beta 90.00
_cell_angle_gamma 90.00
loop_
_atom_site_label
_atom_site_fract_x
_atom_site_fract_y
_atom_site_fract_z
Zr1 0.000 0.000 0.000
Hg1 0.000 0.500 0.250
Ru1 0.000 0.000 0.500
```

Ordering by calculated energy gives the sequence arrangement z, arrangement y, arrangement w, arrangement x, with the first entry being the most stable.

Arrangement w

Density functional theory data (GGA-PBE) for ZrHg2Ru after structural relaxation.

Results
- ρ: 12.7 g/cm3
- Fermi-level density of states: 0.9451 states/eV/atom

Cell and atoms, written as CIF:
```
data_ZrHg2Ru
_chemical_formula_sum 'Zr4 Hg8 Ru4'
_symmetry_space_group_name_H-M 'F -4 3 m'
_symmetry_Int_Tables_number 216
_symmetry_space_group_name_Hall 'F -4 2 3'
_cell_length_a 6.768
_cell_length_b 6.768
_cell_length_c 6.768
_cell_angle_alpha 90.00
_cell_angle_beta 90.00
_cell_angle_gamma 90.00
loop_
_atom_site_label
_atom_site_fract_x
_atom_site_fract_y
_atom_site_fract_z
Zr1 0.000 0.000 0.000
Hg1 0.000 0.000 0.500
Hg2 0.250 0.250 0.250
Ru1 0.250 0.250 0.750
```

Arrangement x

Density functional theory data (GGA-PBE) for ZrHg2Ru after structural relaxation.

Results
- ρ: 11.6 g/cm3
- Fermi-level density of states: 1.0933 states/eV/atom

Cell and atoms, written as CIF:
```
data_ZrHg2Ru
_chemical_formula_sum 'Zr4 Hg8 Ru4'
_symmetry_space_group_name_H-M 'I -4 2 d'
_symmetry_Int_Tables_number 122
_symmetry_space_group_name_Hall 'I -4 2bw'
_cell_length_a 7.920
_cell_length_b 7.920
_cell_length_c 5.422
_cell_angle_alpha 90.00
_cell_angle_beta 90.00
_cell_angle_gamma 90.00
loop_
_atom_site_label
_atom_site_fract_x
_atom_site_fract_y
_atom_site_fract_z
Zr1 0.000 0.000 0.000
Hg1 0.221 0.250 0.625
Ru1 0.000 0.000 0.500
```

Ordering by calculated energy gives the sequence arrangement w, arrangement x, with the first entry being the most stable.

Arrangement w

Density functional theory data (GGA-PBE) for ZrHg2Ru after structural relaxation.

Results
- ρ: 12.6 g/cm3
- Fermi-level density of states: 0.7886 states/eV/atom

Cell and atoms, written as CIF:
```
data_ZrHg2Ru
_chemical_formula_sum 'Zr1 Hg2 Ru1'
_symmetry_space_group_name_H-M 'P 1 2/m 1'
_symmetry_Int_Tables_number 10
_cell_length_a 3.034
_cell_length_b 4.798
_cell_length_c 5.553
_cell_angle_alpha 90.00
_cell_angle_beta 105.01
_cell_angle_gamma 90.00
loop_
_symmetry_equiv_pos_as_xyz
'x,y,z'
'-x,-y,-z'
'-x,y,-z'
'x,-y,z'
loop_
_atom_site_label
_atom_site_fract_x
_atom_site_fract_y
_atom_site_fract_z
Zr1 0.000 0.000 0.000
Hg1 0.391 0.500 0.737
Ru1 0.000 0.000 0.500
```

Arrangement x

Density functional theory data (GGA-PBE) for ZrHg2Ru after structural relaxation.

Results
- ρ: 12.5 g/cm3
- Fermi-level density of states: 1.0242 states/eV/atom

Cell and atoms, written as CIF:
```
data_ZrHg2Ru
_chemical_formula_sum 'Zr3 Hg6 Ru3'
_symmetry_space_group_name_H-M 'R -3 m'
_symmetry_Int_Tables_number 166
_symmetry_space_group_name_Hall '-R 3 2"'
_cell_length_a 3.0603
_cell_length_b 3.0603
_cell_length_c 29.1966
_cell_angle_alpha 90.00
_cell_angle_beta 90.00
_cell_angle_gamma 120.00
loop_
_atom_site_label
_atom_site_fract_x
_atom_site_fract_y
_atom_site_fract_z
Zr1 0.0000 0.0000 0.0000
Hg1 0.0000 0.0000 0.2450
Ru1 0.0000 0.0000 0.5000
```

Arrangement y

Density functional theory data (GGA-PBE) for ZrHg2Ru after structural relaxation.

Results
- ρ: 12.7 g/cm3
- Fermi-level density of states: 0.6676 states/eV/atom

Cell and atoms, written as CIF:
```
data_ZrHg2Ru
_chemical_formula_sum 'Zr2 Hg4 Ru2'
_symmetry_space_group_name_H-M 'C 1 2/m 1'
_symmetry_Int_Tables_number 12
_cell_length_a 10.068
_cell_length_b 3.390
_cell_length_c 4.721
_cell_angle_alpha 90.00
_cell_angle_beta 105.47
_cell_angle_gamma 90.00
loop_
_symmetry_equiv_pos_as_xyz
'x,y,z'
'-x,-y,-z'
'-x,y,-z'
'x,-y,z'
'x+1/2,y+1/2,z'
'-x+1/2,-y+1/2,-z'
'-x+1/2,y+1/2,-z'
'x+1/2,-y+1/2,z'
loop_
_atom_site_label
_atom_site_fract_x
_atom_site_fract_y
_atom_site_fract_z
Zr1 0.000 0.000 0.000
Hg1 0.242 0.000 0.739
Ru1 0.000 0.500 0.500
```

Ordering by calculated energy gives the sequence arrangement y, arrangement w, arrangement x, with the first entry being the most stable.